First-principles (GGA-PBE) data for a relaxed structure of ScPd3Pt4, as listed in Alexandria via LeMat-Bulk.

abc: 9.267 9.267 4.749
angles: 93.05 93.05 18.20
Fractional coordinates of all 8 atoms:
1 Sc 0.000 0.000 0.000
2 Pd 0.252 0.252 0.750
3 Pd 0.500 0.500 0.500
4 Pd 0.748 0.748 0.250
5 Pt 0.123 0.123 0.378
6 Pt 0.377 0.377 0.121
7 Pt 0.623 0.623 0.879
8 Pt 0.877 0.877 0.622

Summary:
- Energy of formation: -0.425 eV per atom
- Energy above the most stable polymorph in this dataset: 50 meV per atom
- E: -49.47 eV per cell
- Theoretical density: 14.9 Mg/m³
- Symmetry: C2/m, No. 12
- V: 15.90 Å³ per atom